# 1
# CoSbW2

A relaxed CoSbW2 crystal (PBE, Alexandria).

Computed properties:
Uncorrected formation energy: 0.470 eV per atom

The structure in CIF format:
```
data_CoSbW2
_chemical_formula_sum 'Co1 Sb1 W2'
_cell_length_a 3.777
_cell_length_b 3.777
_cell_length_c 4.454
_cell_angle_alpha 90.00
_cell_angle_beta 90.00
_cell_angle_gamma 90.00
_space_group_name_H-M_alt 'P 4/m m m'
_space_group_IT_number 123
_space_group_name_Hall '-P 4 2'
loop_
_atom_site_label
_atom_site_type_symbol
_atom_site_fract_x
_atom_site_fract_y
_atom_site_fract_z
Co1 Co 0.000 0.000 0.000
Sb1 Sb 0.500 0.500 0.000
W1 W 0.000 0.500 0.500
```


# 2
# ZnCoSbW2

A relaxed ZnCoSbW2 crystal (PBE, Alexandria).

Computed properties:
Uncorrected formation energy: 2.499 eV per atom

The structure in CIF format:
```
data_ZnCoSbW2
_chemical_formula_sum 'Zn1 Co1 Sb1 W2'
_cell_length_a 4.947
_cell_length_b 4.947
_cell_length_c 4.759
_cell_angle_alpha 90.00
_cell_angle_beta 90.00
_cell_angle_gamma 90.00
_space_group_name_H-M_alt 'P 4/m m m'
_space_group_IT_number 123
_space_group_name_Hall '-P 4 2'
loop_
_atom_site_label
_atom_site_type_symbol
_atom_site_fract_x
_atom_site_fract_y
_atom_site_fract_z
Zn1 Zn 0.000 0.000 0.000
Co1 Co 0.500 0.500 0.000
Sb1 Sb 0.000 0.000 0.500
W1 W 0.000 0.500 0.500
```


# 3
# YCoSb2

A relaxed YCoSb2 crystal (PBE, Alexandria).

Computed properties:
Uncorrected formation energy: -0.214 eV per atom

The structure in CIF format:
```
data_YCoSb2
_chemical_formula_sum 'Y2 Co2 Sb4'
_cell_length_a 4.225
_cell_length_b 5.699
_cell_length_c 7.371
_cell_angle_alpha 90.00
_cell_angle_beta 90.00
_cell_angle_gamma 90.00
_space_group_name_H-M_alt 'C m m m'
_space_group_IT_number 65
_space_group_name_Hall '-C 2 2'
loop_
_atom_site_label
_atom_site_type_symbol
_atom_site_fract_x
_atom_site_fract_y
_atom_site_fract_z
Y1 Y 0.000 0.000 0.000
Co1 Co 0.000 0.000 0.500
Sb1 Sb 0.000 0.500 0.294
```


# 4
# YCo3Sb

A relaxed YCo3Sb crystal (PBE, Alexandria).

Computed properties:
Uncorrected formation energy: 0.511 eV per atom
Relative energy among the computed polymorphs: 0 meV/atom

The structure in CIF format:
```
data_YCo3Sb
_chemical_formula_sum 'Y1 Co3 Sb1'
_cell_length_a 4.648
_cell_length_b 4.648
_cell_length_c 4.648
_cell_angle_alpha 90.00
_cell_angle_beta 90.00
_cell_angle_gamma 90.00
_space_group_name_H-M_alt 'P m -3 m'
_space_group_IT_number 221
_space_group_name_Hall '-P 4 2 3'
loop_
_atom_site_label
_atom_site_type_symbol
_atom_site_fract_x
_atom_site_fract_y
_atom_site_fract_z
Y1 Y 0.000 0.000 0.000
Co1 Co 0.000 0.500 0.500
Sb1 Sb 0.500 0.500 0.500
```


# 5
# Y12Co5Sb

A relaxed Y12Co5Sb crystal (PBE, Alexandria).

Computed properties:
Uncorrected formation energy: -0.299 eV per atom

The structure in CIF format:
```
data_Y12Co5Sb
_chemical_formula_sum 'Y24 Co10 Sb2'
_cell_length_a 9.449
_cell_length_b 9.490
_cell_length_c 9.895
_cell_angle_alpha 90.00
_cell_angle_beta 90.00
_cell_angle_gamma 90.00
_space_group_name_H-M_alt 'I m m m'
_space_group_IT_number 71
_space_group_name_Hall '-I 2 2'
loop_
_atom_site_label
_atom_site_type_symbol
_atom_site_fract_x
_atom_site_fract_y
_atom_site_fract_z
Y1 Y 0.000 0.194 0.208
Y2 Y 0.194 0.500 0.188
Y3 Y 0.210 0.315 0.500
Co1 Co 0.000 0.000 0.000
Co2 Co 0.000 0.379 0.000
Co3 Co 0.000 0.500 0.389
Sb1 Sb 0.000 0.000 0.500
```


# 6
# Y2CoSb

A relaxed Y2CoSb crystal (PBE, Alexandria).

Computed properties:
Uncorrected formation energy: 0.052 eV per atom

The structure in CIF format:
```
data_Y2CoSb
_chemical_formula_sum 'Y8 Co4 Sb4'
_cell_length_a 7.067
_cell_length_b 7.067
_cell_length_c 7.067
_cell_angle_alpha 90.00
_cell_angle_beta 90.00
_cell_angle_gamma 90.00
_space_group_name_H-M_alt 'F -4 3 m'
_space_group_IT_number 216
_space_group_name_Hall 'F -4 2 3'
loop_
_atom_site_label
_atom_site_type_symbol
_atom_site_fract_x
_atom_site_fract_y
_atom_site_fract_z
Y1 Y 0.000 0.000 0.000
Y2 Y 0.250 0.250 0.250
Co1 Co 0.250 0.250 0.750
Sb1 Sb 0.000 0.000 0.500
```


# 7
# Y8Co2Sb

A relaxed Y8Co2Sb crystal (PBE, Alexandria).

Computed properties:
Uncorrected formation energy: -0.206 eV per atom

The structure in CIF format:
```
data_Y8Co2Sb
_chemical_formula_sum 'Y16 Co4 Sb2'
_cell_length_a 8.580
_cell_length_b 13.093
_cell_length_c 5.442
_cell_angle_alpha 90.00
_cell_angle_beta 103.21
_cell_angle_gamma 90.00
_space_group_name_H-M_alt 'C 1 2/m 1'
_space_group_IT_number 12
_space_group_name_Hall '-C 2y'
loop_
_atom_site_label
_atom_site_type_symbol
_atom_site_fract_x
_atom_site_fract_y
_atom_site_fract_z
Y1 Y 0.000 0.248 0.000
Y2 Y 0.109 0.500 0.798
Y3 Y 0.203 0.131 0.582
Co1 Co 0.000 0.305 0.500
Sb1 Sb 0.000 0.000 0.000
```


# 8
# Y2CoSb

A relaxed Y2CoSb crystal (PBE, Alexandria).

Computed properties:
Uncorrected formation energy: -0.583 eV per atom

The structure in CIF format:
```
data_Y2CoSb
_chemical_formula_sum 'Y4 Co2 Sb2'
_cell_length_a 4.149
_cell_length_b 4.133
_cell_length_c 11.085
_cell_angle_alpha 90.00
_cell_angle_beta 90.00
_cell_angle_gamma 90.00
_space_group_name_H-M_alt 'A m m 2'
_space_group_IT_number 38
_space_group_name_Hall 'A 2 -2'
loop_
_atom_site_label
_atom_site_type_symbol
_atom_site_fract_x
_atom_site_fract_y
_atom_site_fract_z
Y1 Y 0.000 0.000 0.000
Y2 Y 0.500 0.000 0.294
Co1 Co 0.500 0.000 0.553
Sb1 Sb 0.000 0.000 0.709
```


# 9
# YCoSb2

A relaxed YCoSb2 crystal (PBE, Alexandria).

Computed properties:
Uncorrected formation energy: -0.059 eV per atom

The structure in CIF format:
```
data_YCoSb2
_chemical_formula_sum 'Y4 Co4 Sb8'
_cell_length_a 7.117
_cell_length_b 7.117
_cell_length_c 7.117
_cell_angle_alpha 90.00
_cell_angle_beta 90.00
_cell_angle_gamma 90.00
_space_group_name_H-M_alt 'F m -3 m'
_space_group_IT_number 225
_space_group_name_Hall '-F 4 2 3'
loop_
_atom_site_label
_atom_site_type_symbol
_atom_site_fract_x
_atom_site_fract_y
_atom_site_fract_z
Y1 Y 0.000 0.000 0.000
Co1 Co 0.000 0.000 0.500
Sb1 Sb 0.250 0.250 0.250
```


# 10
# YCoSb2

A relaxed YCoSb2 crystal (PBE, Alexandria).

Computed properties:
Uncorrected formation energy: -0.087 eV per atom

The structure in CIF format:
```
data_YCoSb2
_chemical_formula_sum 'Y3 Co3 Sb6'
_cell_length_a 3.7681
_cell_length_b 3.7681
_cell_length_c 24.7410
_cell_angle_alpha 90.00
_cell_angle_beta 90.00
_cell_angle_gamma 120.00
_space_group_name_H-M_alt 'R 3 m'
_space_group_IT_number 160
_space_group_name_Hall 'R 3 -2"'
loop_
_atom_site_label
_atom_site_type_symbol
_atom_site_fract_x
_atom_site_fract_y
_atom_site_fract_z
Y1 Y 0.0000 0.0000 0.0000
Co1 Co 0.0000 0.0000 0.7384
Sb1 Sb 0.0000 0.0000 0.2350
Sb2 Sb 0.0000 0.0000 0.4500
```


# 11
# YCoSb2

A relaxed YCoSb2 crystal (PBE, Alexandria).

Computed properties:
Uncorrected formation energy: -0.179 eV per atom

The structure in CIF format:
```
data_YCoSb2
_chemical_formula_sum 'Y1 Co1 Sb2'
_cell_length_a 4.074
_cell_length_b 4.644
_cell_length_c 4.657
_cell_angle_alpha 90.00
_cell_angle_beta 90.00
_cell_angle_gamma 90.00
_space_group_name_H-M_alt 'P m m m'
_space_group_IT_number 47
_space_group_name_Hall '-P 2 2'
loop_
_atom_site_label
_atom_site_type_symbol
_atom_site_fract_x
_atom_site_fract_y
_atom_site_fract_z
Y1 Y 0.000 0.000 0.000
Co1 Co 0.000 0.500 0.500
Sb1 Sb 0.500 0.000 0.500
Sb2 Sb 0.500 0.500 0.000
```


# 12
# Y12Co6Sb

A relaxed Y12Co6Sb crystal (PBE, Alexandria).

Computed properties:
Uncorrected formation energy: -0.306 eV per atom

The structure in CIF format:
```
data_Y12Co6Sb
_chemical_formula_sum 'Y24 Co12 Sb2'
_cell_length_a 9.712
_cell_length_b 9.712
_cell_length_c 9.712
_cell_angle_alpha 90.00
_cell_angle_beta 90.00
_cell_angle_gamma 90.00
_space_group_name_H-M_alt 'I m -3'
_space_group_IT_number 204
_space_group_name_Hall '-I 2 2 3'
loop_
_atom_site_label
_atom_site_type_symbol
_atom_site_fract_x
_atom_site_fract_y
_atom_site_fract_z
Y1 Y 0.000 0.304 0.196
Co1 Co 0.000 0.112 0.500
Sb1 Sb 0.000 0.000 0.000
```


> Which value of uncorrected formation energy does entry 8 give?

-0.583 eV per atom


> Which of these has the lowest uncorrected formation energy?

number 8


Please write out number 12 again, unchanged.
# Y12Co6Sb

A relaxed Y12Co6Sb crystal (PBE, Alexandria).

Computed properties:
Uncorrected formation energy: -0.306 eV per atom

The structure in CIF format:
```
data_Y12Co6Sb
_chemical_formula_sum 'Y24 Co12 Sb2'
_cell_length_a 9.712
_cell_length_b 9.712
_cell_length_c 9.712
_cell_angle_alpha 90.00
_cell_angle_beta 90.00
_cell_angle_gamma 90.00
_space_group_name_H-M_alt 'I m -3'
_space_group_IT_number 204
_space_group_name_Hall '-I 2 2 3'
loop_
_atom_site_label
_atom_site_type_symbol
_atom_site_fract_x
_atom_site_fract_y
_atom_site_fract_z
Y1 Y 0.000 0.304 0.196
Co1 Co 0.000 0.112 0.500
Sb1 Sb 0.000 0.000 0.000
```